[1]
This record from Alexandria describes NaTa3Ru at its PBEsol-relaxed geometry. The functional is SCAN.

Lattice parameters (Å, degrees): 4.808 4.808 4.808 90.00 90.00 90.00
Space group Pm-3m (No. 221)
Symmetry-distinct sites (fractional):
Na 0.000 0.000 0.000
Ta 0.000 0.500 0.500
Ru 0.500 0.500 0.500

Spin magnetization: 0.00 μB per cell
Formation enthalpy at 0 K: 1.1691 eV/atom

[2]
This record from Alexandria describes Na2RuW2 at its PBEsol-relaxed geometry. The functional is SCAN.

Lattice parameters (Å, degrees): 3.454 3.454 19.478 90.00 90.00 90.00
Space group I4/mmm (No. 139)
Symmetry-distinct sites (fractional):
Na 0.000 0.000 0.101
Ru 0.000 0.000 0.500
W 0.000 0.500 0.250

Spin magnetization: 4.80 μB per cell
Formation enthalpy at 0 K: 1.5851 eV/atom

[3]
This record from Alexandria describes NaZn3Ru at its PBEsol-relaxed geometry. The functional is SCAN.

Lattice parameters (Å, degrees): 4.746 4.746 4.746 90.00 90.00 90.00
Space group Pm-3m (No. 221)
Symmetry-distinct sites (fractional):
Na 0.000 0.000 0.000
Zn 0.000 0.500 0.500
Ru 0.500 0.500 0.500

Spin magnetization: 0.00 μB per cell
E above lowest polymorph: 0.00 eV per formula unit
Formation enthalpy at 0 K: 0.2176 eV/atom

[4]
This record from Alexandria describes NaS2 at its PBEsol-relaxed geometry. The functional is SCAN.

Lattice parameters (Å, degrees): 9.486 9.486 11.654 90.00 90.00 90.00
Space group I-42d (No. 122)
Symmetry-distinct sites (fractional):
Na 0.000 0.000 0.172
Na 0.225 0.750 0.625
S 0.032 0.747 0.294
S 0.114 0.145 0.603

Spin magnetization: 0.00 μB per cell
Formation energy without anion corrections: -703 meV per atom

[5]
This record from Alexandria describes Na3SbS4 at its PBEsol-relaxed geometry. The functional is SCAN.

Lattice parameters (Å, degrees): 7.105 7.105 7.105 90.00 90.00 90.00
Space group I-43m (No. 217)
Symmetry-distinct sites (fractional):
Na 0.000 0.000 0.500
Sb 0.000 0.000 0.000
S 0.191 0.191 0.191

Spin magnetization: 0.00 μB per cell
Formation energy without anion corrections: -903 meV per atom

[6]
This record from Alexandria describes NaSbS2 at its PBEsol-relaxed geometry. The functional is SCAN.

Lattice parameters (Å, degrees): 4.0001 4.0001 24.2553 90.00 90.00 120.00
Space group R-3m (No. 166, hexagonal axes)
Symmetry-distinct sites (fractional):
Na 0.0000 0.0000 0.0000
Sb 0.0000 0.0000 0.5000
S 0.0000 0.0000 0.1056

Spin magnetization: 0.00 μB per cell
Formation energy without anion corrections: -464 meV per atom